Computed, not measured: Li2SmTl after structural relaxation at the PBE level of DFT.

The structure in CIF format:
```
data_Li2SmTl
_chemical_formula_sum 'Li2 Sm1 Tl1'
_cell_length_a 3.702
_cell_length_b 3.702
_cell_length_c 6.860
_cell_angle_alpha 90.00
_cell_angle_beta 90.00
_cell_angle_gamma 90.00
_symmetry_space_group_name_H-M 'P 1'
_symmetry_Int_Tables_number 1
loop_
_symmetry_equiv_pos_as_xyz
'x,y,z'
loop_
_atom_site_label
_atom_site_type_symbol
_atom_site_fract_x
_atom_site_fract_y
_atom_site_fract_z
Li1 Li 0.000 0.000 0.205
Sm1 Sm 0.500 0.500 0.500
Li2 Li 0.000 0.000 0.795
Tl1 Tl 0.500 0.500 0.000
```

## Properties
- energy above the lowest structure with this stoichiometry (eV/f.u.) = 0.69
- SG = P4/mmm (123)
- magnetization (μB per formula unit) = 0.17
- ΔE_f (eV per atom) = -0.075